# MgReRh2 PBE-GGA optimized geometry
# density of states at the Fermi level	0.925	states/eV per atom
# calculated formation energy	-0.151	eV/atom
data_MgReRh2
_chemical_formula_sum 'Mg2 Re2 Rh4'
_space_group_name_H-M_alt 'C m m m'
_space_group_IT_number 65
_space_group_name_Hall '-C 2 2'
_cell_length_a 5.766
_cell_length_b 7.374
_cell_length_c 2.777
_cell_angle_alpha 90.00
_cell_angle_beta 90.00
_cell_angle_gamma 90.00
loop_
_atom_site_label
_atom_site_fract_x
_atom_site_fract_y
_atom_site_fract_z
_atom_site_occupancy
Mg1 0.000 0.000 0.000 1
Re1 0.000 0.500 0.000 1
Rh1 0.250 0.250 0.500 1